{"formula": "LiAu2Br", "functional": "PBEsol", "state": "relaxed", "lattice_angstrom": [[-3.1295, 1.1572, 1.7596], [-0.8570, -3.3866, 0.7031], [5.1115, 1.4335, 4.1049]], "species": ["Au", "Au", "Br", "Li"], "fractional_positions": [[0.7280, 0.7280, 0.4559], [0.2720, 0.2720, 0.5441], [0.5000, 0.0000, 0.0000], [0.0000, 0.5000, 0.0000]], "e_form_raw_ev_per_atom": -0.375, "volume_a3_per_atom": 20.8, "dos_at_fermi_per_ev_fu": 0.9, "dft_energy_ev_per_cell": -13.184, "polymorph_energy_mev_per_atom": 0}

{"formula": "Mg2SiAu", "functional": "PBEsol", "state": "relaxed", "lattice_angstrom": [[4.2407, 0.0000, 0.0000], [-2.1204, 4.3714, -0.0528], [0.0000, 2.1015, 3.6834]], "species": ["Au", "Mg", "Mg", "Si"], "fractional_positions": [[0.5000, 0.0000, 0.5000], [0.2500, 0.5000, 0.2500], [0.7500, 0.5000, 0.7500], [0.0000, 0.0000, 0.0000]], "e_form_raw_ev_per_atom": -0.251, "volume_a3_per_atom": 17.2, "dos_at_fermi_per_ev_fu": 1.1, "dft_energy_ev_per_cell": -14.108}

Which formula does entry 1 have?
LiAu2Br